# 1
VASP calculation (PBE-GGA) on a geometry-optimized ReB2HSe structure.

Cell lengths 4.2103, 3.0304, 4.2103 Å; angles 90.00, 90.00, 90.00 degrees
Each line ends with the local moment (μB).
Positions (direct):
Re (0.5000, 0.5000, 0.5000)  1.07
B (0.0000, 0.0000, 0.5000)  -0.01
B (0.5000, 0.0000, 0.0000)  -0.02
Se (0.0000, 0.0000, 0.0000)  0.06
H (0.0000, 0.5000, 0.0000)  0.01

Results
Its space-group type is No. 123. The energy is -4.97 eV per atom.



# 2
VASP calculation (PBE-GGA) on a geometry-optimized B3H2Rh8 structure.

Cell lengths 5.0758, 5.8894, 5.8494 Å; angles 120.23, 73.00, 90.00 degrees
Positions (direct):
B (0.5000, 0.0000, 0.0000)
B (0.0000, 0.2571, 0.0000)
B (0.0000, 0.7429, 0.0000)
H (0.9161, 0.7609, 0.5219)
H (0.0839, 0.2391, 0.4781)
Rh (0.2638, 0.3709, 0.7419)
Rh (0.7362, 0.6291, 0.2581)
Rh (0.2517, 0.8697, 0.7395)
Rh (0.7483, 0.1303, 0.2605)
Rh (0.2516, 0.8708, 0.2549)
Rh (0.2516, 0.3842, 0.2549)
Rh (0.7484, 0.6158, 0.7451)
Rh (0.7484, 0.1292, 0.7451)

Results
Its space-group type is No. 12. The energy is -6.73 eV per atom.